# Ta2BeCo5B2

Ta2BeCo5B2 after structural relaxation (GGA-PBE, the Alexandria database).

## Properties
* D(E_F): 16.98 states/eV/cell
* total magnetization: 0.01 μB/atom
* VASP energy: -80.6 eV/f.u.
* formation energy from the elements: -4.31 eV per formula unit

Geometry as POSCAR:
```
Ta2BeCo5B2
1.0
-1.342 1.683 2.039
-2.579 -6.936 4.026
7.054 0.049 4.604
Ta Be Co B
4 2 10 4
direct
0.000 0.678 0.178
0.000 0.322 0.822
0.000 0.178 0.322
0.000 0.822 0.678
0.000 0.000 0.000
0.000 0.500 0.500
0.500 0.214 0.066
0.500 0.786 0.934
0.500 0.066 0.786
0.500 0.714 0.434
0.500 0.934 0.214
0.500 0.286 0.566
0.500 0.566 0.714
0.500 0.434 0.286
0.500 0.500 0.000
0.500 0.000 0.500
0.000 0.122 0.622
0.000 0.878 0.378
0.000 0.622 0.878
0.000 0.378 0.122
```